# 1
# KHfSe2Cl

Crystalline KHfSe2Cl at its relaxed geometry (GGA-PBE, Alexandria).

Cell lengths 5.8557, 4.5066, 5.8557 Å; angles 90.00, 90.00, 90.00 degrees
Last column: nearest neighbours and their distance in Å.
Atoms (fractional coordinates):
1 K 0.5000 0.5000 0.5000  8 Se 3.69
2 Hf 0.0000 0.5000 0.0000  2 Cl 2.25
3 Se 0.0000 0.0000 0.5000  2 Cl 2.93
4 Se 0.5000 0.0000 0.0000  2 Cl 2.93
5 Cl 0.0000 0.0000 0.0000  2 Hf 2.25

Values from the calculation:
SG = P4/mmm, No. 123
Mass density = 4.4 g cm⁻³
E_tot = -3.8541 eV per atom
ΔE_f (raw) = 0.119 eV per atom
Total magnetic moment = 0.000 μB/f.u.


# 2
# KHfTaCl2

Crystalline KHfTaCl2 at its relaxed geometry (GGA-PBE, Alexandria).

Cell lengths 4.8081, 7.1471, 4.8081 Å; angles 90.00, 90.00, 90.00 degrees
Last column: nearest neighbours and their distance in Å.
Atoms (fractional coordinates):
1 K 0.0000 0.5000 0.0000  4 Hf 3.40, 2 Ta 3.57
2 Cl 0.0000 0.0000 0.5000  2 Ta 2.40
3 Cl 0.5000 0.0000 0.0000  2 Ta 2.40
4 Hf 0.5000 0.5000 0.5000  4 K 3.40
5 Ta 0.0000 0.0000 0.0000  4 Cl 2.40

Values from the calculation:
SG = P4/mmm, No. 123
Mass density = 4.7 g cm⁻³
E_tot = -4.3241 eV per atom
ΔE_f (raw) = 0.995 eV per atom
Total magnetic moment = 1.275 μB/f.u.


# 3
# K2HfTlCl

Crystalline K2HfTlCl at its relaxed geometry (GGA-PBE, Alexandria).

Cell lengths 6.7714, 5.6837, 6.7714 Å; angles 90.00, 90.00, 90.00 degrees
Last column: nearest neighbours and their distance in Å.
Atoms (fractional coordinates):
1 Tl 0.0000 0.0000 0.0000  2 Cl 2.84
2 Hf 0.5000 0.5000 0.5000  8 K 4.42, 4 Cl 4.79
3 K 0.0000 0.0000 0.5000  2 Tl 3.39
4 K 0.5000 0.0000 0.0000  2 Tl 3.39
5 Cl 0.0000 0.5000 0.0000  2 Tl 2.84

Values from the calculation:
SG = P4/mmm, No. 123
Mass density = 3.2 g cm⁻³
E_tot = -2.5088 eV per atom
ΔE_f (raw) = 0.763 eV per atom
Total magnetic moment = 2.609 μB/f.u.


# 4
# KHfTlCl6

Crystalline KHfTlCl6 at its relaxed geometry (GGA-PBE, Alexandria).

Cell lengths 7.5674, 7.5674, 12.3533 Å; angles 90.00, 90.00, 120.00 degrees
Last column: nearest neighbours and their distance in Å.
Atoms (fractional coordinates):
1 K 0.3333 0.6667 0.2500  6 Cl 3.15
2 K 0.6667 0.3333 0.7500  6 Cl 3.15
3 Hf 0.6667 0.3333 0.2500  6 Cl 2.47
4 Hf 0.3333 0.6667 0.7500  6 Cl 2.47
5 Tl 0.0000 0.0000 0.0000  6 Cl 3.27
6 Tl 0.0000 0.0000 0.5000  6 Cl 3.27
7 Cl 0.6658 0.5992 0.1346  1 Hf 2.47
8 Cl 0.9334 0.3342 0.1346  1 Hf 2.47
9 Cl 0.3342 0.9334 0.6346  1 Hf 2.47
10 Cl 0.0666 0.6658 0.8654  1 Hf 2.47
11 Cl 0.4008 0.3342 0.3654  1 Hf 2.47
12 Cl 0.9334 0.5992 0.3654  1 Hf 2.47
13 Cl 0.5992 0.9334 0.8654  1 Hf 2.47
14 Cl 0.6658 0.0666 0.3654  1 Hf 2.47
15 Cl 0.0666 0.4008 0.6346  1 Hf 2.47
16 Cl 0.4008 0.0666 0.1346  1 Hf 2.47
17 Cl 0.5992 0.6658 0.6346  1 Hf 2.47
18 Cl 0.3342 0.4008 0.8654  1 Hf 2.47

Values from the calculation:
SG = P-31c, No. 163
Mass density = 3.4 g cm⁻³
E_tot = -4.4635 eV per atom
ΔE_f (raw) = -1.742 eV per atom
Total magnetic moment = 0.000 μB/f.u.


# 5
# LaHf2Cl

Crystalline LaHf2Cl at its relaxed geometry (GGA-PBE, Alexandria).

Cell lengths 4.0828, 4.0828, 12.9265 Å; angles 80.91, 80.91, 90.00 degrees
Last column: nearest neighbours and their distance in Å.
Atoms (fractional coordinates):
1 Cl 0.5000 0.5000 0.0000  4 La 2.89
2 Cl 0.2500 0.7500 0.5000  4 La 2.89
3 Hf 0.1205 0.1250 0.2500  4 Hf 2.86-2.91
4 Hf 0.6295 0.6250 0.2500  4 Hf 2.86-2.91
5 Hf 0.3750 0.8795 0.7500  4 Hf 2.86-2.91
6 Hf 0.8750 0.3705 0.7500  4 Hf 2.86-2.91
7 La 0.0000 0.0000 0.0000  4 Cl 2.89
8 La 0.7500 0.2500 0.5000  4 Cl 2.89

Values from the calculation:
SG = I-42d, No. 122
ΔE to the lowest computed polymorph = 0.000 eV/atom
Mass density = 8.4 g cm⁻³
E_tot = -6.6895 eV per atom
ΔE_f (raw) = -0.019 eV per atom
Total magnetic moment = 0.000 μB/f.u.


# 6
# LaHfCl2

Crystalline LaHfCl2 at its relaxed geometry (GGA-PBE, Alexandria).

Cell lengths 4.8008, 4.8008, 9.6101 Å; angles 75.54, 75.54, 90.00 degrees
Last column: nearest neighbours and their distance in Å.
Atoms (fractional coordinates):
1 Cl 0.6637 0.1250 0.2500  2 Hf 2.74, 2 La 2.90
2 Cl 0.0863 0.6250 0.2500  2 Hf 2.74, 2 La 2.90
3 Cl 0.3750 0.3363 0.7500  2 Hf 2.74, 2 La 2.90
4 Cl 0.8750 0.9137 0.7500  2 Hf 2.74, 2 La 2.90
5 Hf 0.0000 0.0000 0.0000  4 Cl 2.74
6 Hf 0.7500 0.2500 0.5000  4 Cl 2.74
7 La 0.5000 0.5000 0.0000  4 Cl 2.90
8 La 0.2500 0.7500 0.5000  4 Cl 2.90

Values from the calculation:
SG = I-42d, No. 122
ΔE to the lowest computed polymorph = 0.246 eV/atom
Mass density = 6.2 g cm⁻³
E_tot = -5.3944 eV per atom
ΔE_f (raw) = -0.751 eV per atom
Total magnetic moment = 0.000 μB/f.u.